{
  "formula": "Ce3Dy3HoS8",
  "functional": "PBE-GGA",
  "state": "relaxed",
  "e_form_raw_ev_per_atom": -2.05,
  "magnetic_moment_mub_per_fu": 3.4,
  "spacegroup": "R-3m",
  "e_tot_ev_per_cell": -100.0,
  "lattice_angstrom": [[7.8767, 0.0001, 0.0002], [-3.9381, 6.8210, -0.0239], [-0.0002, -4.5244, 6.5605]],
  "species": ["Ce", "Ce", "Ce", "S", "S", "S", "S", "S", "S", "S", "S", "Dy", "Dy", "Dy", "Ho"],
  "fractional_positions": [[0.0000, 0.0000, 0.0000], [0.5000, 0.5000, 0.0000], [0.0000, 0.5000, 0.0000], [0.2464, 0.4927, 0.7386], [0.7536, 0.5073, 0.2614], [0.2540, 0.5079, 0.2618], [0.7458, 0.9922, 0.7387], [0.2542, 0.0078, 0.2613], [0.2464, 0.9923, 0.7386], [0.7460, 0.4921, 0.7382], [0.7536, 0.0077, 0.2614], [0.5000, 0.0000, 0.5000], [0.0000, 0.5000, 0.5000], [0.5000, 0.5000, 0.5000], [0.0000, 0.0000, 0.5000]]
}